DFT (PBE) results for crystalline Zr4AlInC2 at its relaxed geometry.

Cell lengths 3.3522, 3.3522, 14.8240 Å; angles 90.00, 90.00, 120.00 degrees
Sites, in units of the cell vectors:
1 Al 0.6667 0.3333 0.5000
2 C 0.3333 0.6667 0.2546
3 In 0.0000 0.0000 0.0000
4 Zr 0.6667 0.3333 0.1711
5 C 0.3333 0.6667 0.7454
6 Zr 0.0000 0.0000 0.3404
7 Zr 0.0000 0.0000 0.6596
8 Zr 0.6667 0.3333 0.8289

## Properties
* VASP energy: -64.483 eV for the cell shown